Record 1
# LiTbTm2Tl4 | Alexandria via LeMat-Bulk | PBE-GGA | optimized geometry
data_LiTbTm2Tl4
_chemical_formula_sum 'Li1 Tb1 Tm2 Tl4'
_space_group_name_H-M_alt 'P 1'
_space_group_IT_number 1
_cell_length_a 9.278
_cell_length_b 9.278
_cell_length_c 9.278
_cell_angle_alpha 32.61
_cell_angle_beta 32.61
_cell_angle_gamma 32.61
loop_
_space_group_symop_operation_xyz
'x,y,z'
loop_
_atom_site_label
_atom_site_fract_x
_atom_site_fract_y
_atom_site_fract_z
Li1 0.000 0.000 0.000
Tb1 0.500 0.500 0.500
Tm1 0.254 0.254 0.254
Tm2 0.746 0.746 0.746
Tl1 0.122 0.122 0.122
Tl2 0.372 0.372 0.372
Tl3 0.628 0.628 0.628
Tl4 0.878 0.878 0.878
# DOS at the Fermi energy = 0.550 states/eV per atom
# Uncorrected energy = -3.4266 eV per atom
# Calculated volume = 25.786 Å³ per atom
# E_form = -308 meV/atom
# Crystal system = trigonal



Record 2
# Li2TbTmTl4 | Alexandria via LeMat-Bulk | PBE-GGA | optimized geometry
data_Li2TbTmTl4
_chemical_formula_sum 'Li2 Tb1 Tm1 Tl4'
_space_group_name_H-M_alt 'P 1'
_space_group_IT_number 1
_cell_length_a 8.942
_cell_length_b 8.942
_cell_length_c 8.942
_cell_angle_alpha 33.66
_cell_angle_beta 33.66
_cell_angle_gamma 33.66
loop_
_space_group_symop_operation_xyz
'x,y,z'
loop_
_atom_site_label
_atom_site_fract_x
_atom_site_fract_y
_atom_site_fract_z
Li1 0.250 0.250 0.250
Li2 0.750 0.750 0.750
Tb1 0.000 0.000 0.000
Tm1 0.500 0.500 0.500
Tl1 0.126 0.126 0.126
Tl2 0.376 0.376 0.376
Tl3 0.624 0.624 0.624
Tl4 0.874 0.874 0.874
# DOS at the Fermi energy = 0.202 states/eV per atom
# Uncorrected energy = -3.1085 eV per atom
# Calculated volume = 24.462 Å³ per atom
# E_form = -309 meV/atom
# Crystal system = trigonal



Record 3
# LiTbYTl | Alexandria via LeMat-Bulk | PBE-GGA | optimized geometry
data_LiTbYTl
_chemical_formula_sum 'Li1 Tb1 Y1 Tl1'
_space_group_name_H-M_alt 'P 1'
_space_group_IT_number 1
_cell_length_a 5.300
_cell_length_b 5.300
_cell_length_c 5.300
_cell_angle_alpha 60.00
_cell_angle_beta 60.00
_cell_angle_gamma 60.00
loop_
_space_group_symop_operation_xyz
'x,y,z'
loop_
_atom_site_label
_atom_site_fract_x
_atom_site_fract_y
_atom_site_fract_z
Li1 0.000 0.000 0.000
Tb1 0.250 0.250 0.250
Y1 0.750 0.750 0.750
Tl1 0.500 0.500 0.500
# DOS at the Fermi energy = 0.850 states/eV per atom
# Uncorrected energy = -4.0593 eV per atom
# Calculated volume = 26.313 Å³ per atom
# E_form = -216 meV/atom
# Crystal system = cubic



Record 4
# Li2TbYTl4 | Alexandria via LeMat-Bulk | PBE-GGA | optimized geometry
data_Li2TbYTl4
_chemical_formula_sum 'Li2 Tb1 Y1 Tl4'
_space_group_name_H-M_alt 'P 1'
_space_group_IT_number 1
_cell_length_a 8.973
_cell_length_b 8.973
_cell_length_c 8.973
_cell_angle_alpha 33.69
_cell_angle_beta 33.69
_cell_angle_gamma 33.69
loop_
_space_group_symop_operation_xyz
'x,y,z'
loop_
_atom_site_label
_atom_site_fract_x
_atom_site_fract_y
_atom_site_fract_z
Li1 0.250 0.250 0.250
Li2 0.750 0.750 0.750
Tb1 0.000 0.000 0.000
Y1 0.500 0.500 0.500
Tl1 0.125 0.125 0.125
Tl2 0.375 0.375 0.375
Tl3 0.625 0.625 0.625
Tl4 0.875 0.875 0.875
# DOS at the Fermi energy = 0.232 states/eV per atom
# Uncorrected energy = -3.3713 eV per atom
# Calculated volume = 24.760 Å³ per atom
# E_form = -323 meV/atom
# Crystal system = trigonal



Record 5
# LiTb2Tm | Alexandria via LeMat-Bulk | PBE-GGA | optimized geometry
data_LiTb2Tm
_chemical_formula_sum 'Li1 Tb2 Tm1'
_space_group_name_H-M_alt 'P 1'
_space_group_IT_number 1
_cell_length_a 5.454
_cell_length_b 5.454
_cell_length_c 5.454
_cell_angle_alpha 60.00
_cell_angle_beta 60.00
_cell_angle_gamma 60.00
loop_
_space_group_symop_operation_xyz
'x,y,z'
loop_
_atom_site_label
_atom_site_fract_x
_atom_site_fract_y
_atom_site_fract_z
Li1 0.000 0.000 0.000
Tb1 0.250 0.250 0.250
Tb2 0.750 0.750 0.750
Tm1 0.500 0.500 0.500
# DOS at the Fermi energy = 0.850 states/eV per atom
# Uncorrected energy = -3.7476 eV per atom
# Calculated volume = 28.680 Å³ per atom
# Polymorph energy (0 for the lowest one) = 0.0933 eV/atom
# E_form = 164 meV/atom
# Crystal system = cubic



Record 6
# LiTbTm | Alexandria via LeMat-Bulk | PBE-GGA | optimized geometry
data_LiTbTm
_chemical_formula_sum 'Li2 Tb2 Tm2'
_space_group_name_H-M_alt 'P 1'
_space_group_IT_number 1
_cell_length_a 3.366
_cell_length_b 3.366
_cell_length_c 16.417
_cell_angle_alpha 90.00
_cell_angle_beta 90.00
_cell_angle_gamma 113.36
loop_
_space_group_symop_operation_xyz
'x,y,z'
loop_
_atom_site_label
_atom_site_fract_x
_atom_site_fract_y
_atom_site_fract_z
Li1 0.250 0.750 0.930
Li2 0.750 0.250 0.070
Tb1 0.250 0.750 0.594
Tb2 0.750 0.250 0.406
Tm1 0.250 0.750 0.233
Tm2 0.750 0.250 0.767
# DOS at the Fermi energy = 1.313 states/eV per atom
# Uncorrected energy = -3.5336 eV per atom
# Calculated volume = 28.463 Å³ per atom
# Polymorph energy (0 for the lowest one) = 0.0436 eV/atom
# E_form = 138 meV/atom
# Crystal system = orthorhombic



Record 7
# LiTb5Tm4 | Alexandria via LeMat-Bulk | PBE-GGA | optimized geometry
data_LiTb5Tm4
_chemical_formula_sum 'Li1 Tb5 Tm4'
_space_group_name_H-M_alt 'P 1'
_space_group_IT_number 1
_cell_length_a 3.546
_cell_length_b 3.546
_cell_length_c 23.814
_cell_angle_alpha 90.00
_cell_angle_beta 90.00
_cell_angle_gamma 90.00
loop_
_space_group_symop_operation_xyz
'x,y,z'
loop_
_atom_site_label
_atom_site_fract_x
_atom_site_fract_y
_atom_site_fract_z
Li1 0.000 0.000 0.000
Tb1 0.500 0.500 0.086
Tb2 0.500 0.500 0.292
Tb3 0.500 0.500 0.500
Tb4 0.500 0.500 0.708
Tb5 0.500 0.500 0.914
Tm1 0.000 0.000 0.188
Tm2 0.000 0.000 0.396
Tm3 0.000 0.000 0.604
Tm4 0.000 0.000 0.812
# DOS at the Fermi energy = 1.391 states/eV per atom
# Uncorrected energy = -4.2525 eV per atom
# Calculated volume = 29.938 Å³ per atom
# E_form = 43 meV/atom
# Crystal system = tetragonal



Record 8
# LiTbTm | Alexandria via LeMat-Bulk | PBE-GGA | optimized geometry
data_LiTbTm
_chemical_formula_sum 'Li2 Tb2 Tm2'
_space_group_name_H-M_alt 'P 1'
_space_group_IT_number 1
_cell_length_a 4.673
_cell_length_b 4.673
_cell_length_c 7.746
_cell_angle_alpha 90.00
_cell_angle_beta 90.00
_cell_angle_gamma 90.00
loop_
_space_group_symop_operation_xyz
'x,y,z'
loop_
_atom_site_label
_atom_site_fract_x
_atom_site_fract_y
_atom_site_fract_z
Li1 0.250 0.250 0.238
Li2 0.750 0.750 0.762
Tb1 0.250 0.250 0.853
Tb2 0.750 0.750 0.147
Tm1 0.250 0.750 0.500
Tm2 0.750 0.250 0.500
# DOS at the Fermi energy = 1.758 states/eV per atom
# Uncorrected energy = -3.4137 eV per atom
# Calculated volume = 28.195 Å³ per atom
# Polymorph energy (0 for the lowest one) = 0.1635 eV/atom
# E_form = 258 meV/atom
# Crystal system = tetragonal



Record 9
# LiTb2Tm | Alexandria via LeMat-Bulk | PBE-GGA | optimized geometry
data_LiTb2Tm
_chemical_formula_sum 'Li1 Tb2 Tm1'
_space_group_name_H-M_alt 'P 1'
_space_group_IT_number 1
_cell_length_a 12.265
_cell_length_b 12.265
_cell_length_c 12.265
_cell_angle_alpha 16.15
_cell_angle_beta 16.15
_cell_angle_gamma 16.15
loop_
_space_group_symop_operation_xyz
'x,y,z'
loop_
_atom_site_label
_atom_site_fract_x
_atom_site_fract_y
_atom_site_fract_z
Li1 0.000 0.000 0.000
Tb1 0.089 0.089 0.089
Tb2 0.911 0.911 0.911
Tm1 0.500 0.500 0.500
# DOS at the Fermi energy = 1.285 states/eV per atom
# Uncorrected energy = -3.7431 eV per atom
# Calculated volume = 31.122 Å³ per atom
# Polymorph energy (0 for the lowest one) = 0.0978 eV/atom
# E_form = 168 meV/atom
# Crystal system = trigonal



Record 10
# LiTbTm2 | Alexandria via LeMat-Bulk | PBE-GGA | optimized geometry
data_LiTbTm2
_chemical_formula_sum 'Li1 Tb1 Tm2'
_space_group_name_H-M_alt 'P 1'
_space_group_IT_number 1
_cell_length_a 3.564
_cell_length_b 3.564
_cell_length_c 8.752
_cell_angle_alpha 90.00
_cell_angle_beta 90.00
_cell_angle_gamma 90.00
loop_
_space_group_symop_operation_xyz
'x,y,z'
loop_
_atom_site_label
_atom_site_fract_x
_atom_site_fract_y
_atom_site_fract_z
Li1 0.000 0.000 0.000
Tb1 0.000 0.000 0.500
Tm1 0.500 0.500 0.221
Tm2 0.500 0.500 0.779
# DOS at the Fermi energy = 1.081 states/eV per atom
# Uncorrected energy = -3.7976 eV per atom
# Calculated volume = 27.791 Å³ per atom
# Polymorph energy (0 for the lowest one) = 0.0000 eV/atom
# E_form = 74 meV/atom
# Crystal system = tetragonal



Record 11
# LiTbTm | Alexandria via LeMat-Bulk | PBE-GGA | optimized geometry
data_LiTbTm
_chemical_formula_sum 'Li1 Tb1 Tm1'
_space_group_name_H-M_alt 'P 1'
_space_group_IT_number 1
_cell_length_a 3.446
_cell_length_b 3.446
_cell_length_c 8.289
_cell_angle_alpha 90.00
_cell_angle_beta 90.00
_cell_angle_gamma 120.00
loop_
_space_group_symop_operation_xyz
'x,y,z'
loop_
_atom_site_label
_atom_site_fract_x
_atom_site_fract_y
_atom_site_fract_z
Li1 0.000 0.000 0.000
Tb1 0.667 0.333 0.334
Tm1 0.333 0.667 0.672
# DOS at the Fermi energy = 1.060 states/eV per atom
# Uncorrected energy = -3.5581 eV per atom
# Calculated volume = 28.414 Å³ per atom
# Polymorph energy (0 for the lowest one) = 0.0191 eV/atom
# E_form = 114 meV/atom
# Crystal system = trigonal



Record 12
# Li2TbTm | Alexandria via LeMat-Bulk | PBE-GGA | optimized geometry
data_Li2TbTm
_chemical_formula_sum 'Li2 Tb1 Tm1'
_space_group_name_H-M_alt 'P 1'
_space_group_IT_number 1
_cell_length_a 5.220
_cell_length_b 5.220
_cell_length_c 5.220
_cell_angle_alpha 60.00
_cell_angle_beta 60.00
_cell_angle_gamma 60.00
loop_
_space_group_symop_operation_xyz
'x,y,z'
loop_
_atom_site_label
_atom_site_fract_x
_atom_site_fract_y
_atom_site_fract_z
Li1 0.250 0.250 0.250
Li2 0.750 0.750 0.750
Tb1 0.000 0.000 0.000
Tm1 0.500 0.500 0.500
# DOS at the Fermi energy = 1.000 states/eV per atom
# Uncorrected energy = -3.0738 eV per atom
# Calculated volume = 25.145 Å³ per atom
# Polymorph energy (0 for the lowest one) = 0.0016 eV/atom
# E_form = 159 meV/atom
# Crystal system = cubic



Record 13
# Li2TbTm | Alexandria via LeMat-Bulk | PBE-GGA | optimized geometry
data_Li2TbTm
_chemical_formula_sum 'Li2 Tb1 Tm1'
_space_group_name_H-M_alt 'P 1'
_space_group_IT_number 1
_cell_length_a 3.689
_cell_length_b 3.689
_cell_length_c 7.378
_cell_angle_alpha 90.00
_cell_angle_beta 90.00
_cell_angle_gamma 90.00
loop_
_space_group_symop_operation_xyz
'x,y,z'
loop_
_atom_site_label
_atom_site_fract_x
_atom_site_fract_y
_atom_site_fract_z
Li1 0.000 0.000 0.247
Li2 0.000 0.000 0.753
Tb1 0.500 0.500 0.500
Tm1 0.500 0.500 0.000
# DOS at the Fermi energy = 0.918 states/eV per atom
# Uncorrected energy = -3.0754 eV per atom
# Calculated volume = 25.100 Å³ per atom
# Polymorph energy (0 for the lowest one) = 0.0000 eV/atom
# E_form = 157 meV/atom
# Crystal system = tetragonal



Record 14
# LiTbTm2 | Alexandria via LeMat-Bulk | PBE-GGA | optimized geometry
data_LiTbTm2
_chemical_formula_sum 'Li1 Tb1 Tm2'
_space_group_name_H-M_alt 'P 1'
_space_group_IT_number 1
_cell_length_a 5.427
_cell_length_b 5.427
_cell_length_c 5.427
_cell_angle_alpha 60.00
_cell_angle_beta 60.00
_cell_angle_gamma 60.00
loop_
_space_group_symop_operation_xyz
'x,y,z'
loop_
_atom_site_label
_atom_site_fract_x
_atom_site_fract_y
_atom_site_fract_z
Li1 0.000 0.000 0.000
Tb1 0.500 0.500 0.500
Tm1 0.250 0.250 0.250
Tm2 0.750 0.750 0.750
# DOS at the Fermi energy = 0.763 states/eV per atom
# Uncorrected energy = -3.6778 eV per atom
# Calculated volume = 28.253 Å³ per atom
# Polymorph energy (0 for the lowest one) = 0.1198 eV/atom
# E_form = 194 meV/atom
# Crystal system = cubic